No. 1
9
Lattice="-2.4539 0.4688 -3.9776 3.6740 -2.3887 -2.5481 -3.8090 -2.6529 2.0373" Properties=species:S:1:pos:R:3 comment="Mn2TlO6 GGA+U optimized geometry" dos_ef_per_ev_fu=6.32 polymorph_energy_mev_per_atom=0.0 pbc="T T T"
Mn -0.0473 -2.2424 -3.0084
Mn -2.5416 -2.3305 -1.4800
Tl 0.0000 0.0000 0.0000
O -1.8597 -2.8334 -3.1982
O -2.1763 -4.0263 -0.6669
O 0.5980 -3.9283 -2.3669
O -0.4126 -0.5466 -3.8214
O -0.7292 -1.7394 -1.2902
O -3.1869 -0.6445 -2.1215

---

No. 2
20
Lattice="6.2228 0.0512 0.0712 -1.4496 6.0518 0.0712 -1.4496 -1.8535 5.7614" Properties=species:S:1:pos:R:3 comment="BaV3B4O12 GGA+U optimized geometry" dos_ef_per_ev_fu=5.53 pbc="T T T"
Ba 0.0000 0.0000 0.0000
V 2.8045 2.7246 0.0712
V 1.9686 -1.0049 3.2263
V -1.4496 2.5298 2.6063
B 5.0536 -0.5280 2.9519
B -1.7300 1.2827 5.4674
B 1.6618 5.6195 0.4363
B 1.6618 2.1248 2.9519
O 1.6618 0.9851 3.7722
O 4.8260 2.9103 0.6051
O -1.5024 4.5995 2.9519
O 1.6618 -1.1355 5.2986
O 0.7422 5.5553 1.4412
O -0.5639 0.6247 5.7255
O 5.2128 0.7131 2.4098
O 2.5814 4.6463 0.1783
O -1.8893 2.1907 4.4626
O 3.8874 -0.9815 3.4939
O 2.7679 2.3994 2.1315
O 0.5557 2.9899 2.9519

---

Values for total energy, eV/cell, ordered as above
-56.1 -157.0